No. 1
A relaxed GaTcRh2Pb crystal, computed with PBE.

Summary:
For the formation enthalpy at 0 K, the calculation gives 0.69 eV/atom. The calculated total energy is -5.67 eV/atom. As for the symmetry: P4/mmm.

Cell: 4.7510 4.7510 4.8224 Å, 90.00 90.00 90.00°
Last column: nearest neighbours and their distance in Å.
Atoms (fractional coordinates):
Ga  0.0000  0.0000  0.0000  2 Tc 2.41
Tc  0.0000  0.0000  0.5000  4 Rh 2.38, 2 Ga 2.41
Rh  0.0000  0.5000  0.5000  2 Tc 2.38
Rh  0.5000  0.0000  0.5000  2 Tc 2.38
Pb  0.5000  0.5000  0.0000  4 Ga 3.36, 8 Rh 3.38

=====

No. 2
A relaxed Pm4Ir2Pb5 crystal, computed with PBE.

Summary:
For the formation enthalpy at 0 K, the calculation gives -0.52 eV/atom. The calculated total energy is -5.55 eV/atom. As for the symmetry: P2/m.

Cell: 8.1498 3.7838 9.8747 Å, 90.00 93.30 90.00°
Last column: nearest neighbours and their distance in Å.
Atoms (fractional coordinates):
Pm  0.1940  0.0000  0.3413  2 Ir 2.89
Pm  0.2047  0.0000  0.9294  4 Ir 2.98-3.04
Pm  0.7953  0.0000  0.0706  4 Ir 2.98-3.04
Pm  0.8060  0.0000  0.6587  2 Ir 2.89
Ir  0.0820  0.5000  0.1342  6 Pm 2.89-3.04, 1 Ir 2.90, 2 Pb 3.00-3.02
Ir  0.9180  0.5000  0.8658  6 Pm 2.89-3.04, 1 Ir 2.90, 2 Pb 3.00-3.02
Pb  0.1422  0.5000  0.6349  1 Ir 3.00, 1 Pb 3.28, 2 Pm 3.35
Pb  0.4526  0.5000  0.1628  1 Ir 3.02, 2 Pb 3.33-3.35
Pb  0.5000  0.5000  0.5000  4 Pb 3.28-3.33, 4 Pm 3.44
Pb  0.5474  0.5000  0.8372  1 Ir 3.02, 2 Pb 3.33-3.35
Pb  0.8578  0.5000  0.3651  1 Ir 3.00, 1 Pb 3.28, 2 Pm 3.35

=====

No. 3
A relaxed CoSe2Br crystal, computed with PBE.

Summary:
The value obtained for the energy relative to the elements, uncorrected is 0.389 eV per atom. The calculated total energy is -3.55 eV/atom. As for the symmetry: R-3m.

Cell: 2.9234 2.9234 37.9130 Å, 90.00 90.00 120.00°
Last column: nearest neighbours and their distance in Å.
Atoms (fractional coordinates):
Co  0.0000  0.0000  0.0000  2 Se 2.25
Co  0.3333  0.6667  0.6667  2 Se 2.25
Co  0.6667  0.3333  0.3333  2 Se 2.25
Se  0.0000  0.0000  0.0595  1 Co 2.25
Se  0.0000  0.0000  0.9405  1 Co 2.25
Se  0.3333  0.6667  0.6072  1 Co 2.25
Se  0.3333  0.6667  0.7261  1 Co 2.25
Se  0.6667  0.3333  0.2739  1 Co 2.25
Se  0.6667  0.3333  0.3928  1 Co 2.25
Br  0.0000  0.0000  0.5000  6 Br 2.92
Br  0.3333  0.6667  0.1667  6 Br 2.92
Br  0.6667  0.3333  0.8333  6 Br 2.92

=====

No. 4
A relaxed LiBi2Br crystal, computed with PBE.

Summary:
The value obtained for the energy relative to the elements, uncorrected is 0.043 eV per atom. The calculated total energy is -2.79 eV/atom. As for the symmetry: Fm-3m.

Cell: 7.5973 7.5973 7.5973 Å, 90.00 90.00 90.00°
Last column: nearest neighbours and their distance in Å.
Atoms (fractional coordinates):
Li  0.0000  0.0000  0.0000  8 Bi 3.29
Li  0.0000  0.5000  0.5000  8 Bi 3.29
Li  0.5000  0.0000  0.5000  8 Bi 3.29
Li  0.5000  0.5000  0.0000  8 Bi 3.29
Bi  0.2500  0.2500  0.2500  4 Li 3.29, 4 Br 3.29
Bi  0.2500  0.2500  0.7500  4 Li 3.29, 4 Br 3.29
Bi  0.2500  0.7500  0.2500  4 Li 3.29, 4 Br 3.29
Bi  0.2500  0.7500  0.7500  4 Li 3.29, 4 Br 3.29
Bi  0.7500  0.2500  0.2500  4 Li 3.29, 4 Br 3.29
Bi  0.7500  0.2500  0.7500  4 Li 3.29, 4 Br 3.29
Bi  0.7500  0.7500  0.2500  4 Li 3.29, 4 Br 3.29
Bi  0.7500  0.7500  0.7500  4 Br 3.29, 4 Li 3.29
Br  0.0000  0.0000  0.5000  8 Bi 3.29
Br  0.0000  0.5000  0.0000  8 Bi 3.29
Br  0.5000  0.0000  0.0000  8 Bi 3.29
Br  0.5000  0.5000  0.5000  8 Bi 3.29

=====

no.,volume (A^3/atom)
1,21.8
2,27.6
3,23.4
4,27.4